{
  "formula": "TbHoIr4",
  "functional": "PBE",
  "state": "optimized geometry",
  "total_energy_ev_per_atom": -8.2528,
  "cell": [[0.000, 3.790, 3.790], [3.790, 0.000, 3.790], [3.790, 3.790, 0.000]],
  "species": ["Tb", "Ho", "Ir", "Ir", "Ir", "Ir"],
  "fractional_positions": [[0.000, 0.000, 0.000], [0.250, 0.250, 0.250], [0.125, 0.625, 0.625], [0.625, 0.125, 0.625], [0.625, 0.625, 0.125], [0.625, 0.625, 0.625]]
}